CaMn2Au (GGA-PBEsol, relaxed); energy of formation = 0.6579 eV/atom; SG = R-3m; electronic total energy = -22.95 eV per cell
1.0
3.104 0.000 0.000
1.552 2.688 0.000
1.552 0.896 9.233
Ca Mn Au
1 2 1
Direct
0.000 0.000 0.000
0.240 0.240 0.281
0.760 0.760 0.719
0.500 0.500 0.500